## BaPuTe2O8 (PBE-GGA)

Data for crystalline BaPuTe2O8 at its relaxed geometry.

As for the total DFT energy (no corrections): -170.7 eV per cell. The density of states at the Fermi level comes out at 7.551 states/eV/cell. The formation energy without anion corrections comes out at -1.93 eV per atom.

It has space group C2/m (No. 12), with a = 13.654 Å, b = 5.785 Å, c = 5.946 Å, α = 90.00°, β = 110.54° and γ = 90.00°. The inequivalent atoms are Ba at (0.000, 0.000, 0.000), Pu at (0.000, 0.500, 0.500), Te at (0.206, 0.000, 0.694), O at (0.063, 0.500, 0.275), O at (0.109, 0.230, 0.725) and O at (0.179, 0.000, 0.367).

## BeBi3O (PBE-GGA)

Data for crystalline BeBi3O at its relaxed geometry.

As for the total DFT energy (no corrections): -18.6 eV per cell. The density of states at the Fermi level comes out at 3.807 states/eV/cell. The formation energy without anion corrections comes out at 0.35 eV per atom.

It has space group Pm-3m (No. 221), with a = 4.910 Å, b = 4.910 Å, c = 4.910 Å, α = 90.00°, β = 90.00° and γ = 90.00°. The inequivalent atoms are Be at (0.000, 0.000, 0.000), Bi at (0.000, 0.500, 0.500) and O at (0.500, 0.500, 0.500).

## Cs3AcNp2O9 (PBE-GGA)

Data for crystalline Cs3AcNp2O9 at its relaxed geometry.

As for the total DFT energy (no corrections): -116.6 eV per cell. The formation energy without anion corrections comes out at -2.63 eV per atom.

It has space group P-3m1 (No. 164), with a = 6.3740 Å, b = 6.3740 Å, c = 7.8223 Å, α = 90.00°, β = 90.00° and γ = 120.00°. The inequivalent atoms are Cs at (0.0000, 0.0000, 0.0000), Cs at (0.3333, 0.6667, 0.6652), Ac at (0.0000, 0.0000, 0.5000), Np at (0.3333, 0.6667, 0.1553), O at (0.0000, 0.5000, 0.0000) and O at (0.1840, 0.3681, 0.3075).

## Pu3Rh2Pb (PBE-GGA)

Data for crystalline Pu3Rh2Pb at its relaxed geometry.

As for the total DFT energy (no corrections): -63.5 eV per cell. As for the calculated formation energy: -352 meV/atom. The density of states at the Fermi level comes out at 23.425 states/eV/cell.

It has space group P4/mmm (No. 123), with a = 3.404 Å, b = 3.404 Å, c = 11.896 Å, α = 90.00°, β = 90.00° and γ = 90.00°. The inequivalent atoms are Pu at (0.000, 0.000, 0.000), Pu at (0.000, 0.000, 0.291), Rh at (0.500, 0.500, 0.142) and Pb at (0.500, 0.500, 0.500).

## In2SiRh (PBE-GGA)

Data for crystalline In2SiRh at its relaxed geometry.

As for the total DFT energy (no corrections): -53.1 eV per cell. The density of states at the Fermi level comes out at 8.356 states/eV/cell. The formation energy without anion corrections comes out at 0.14 eV per atom.

It has space group R-3m (No. 166, hexagonal axes), with a = 3.3125 Å, b = 3.3125 Å, c = 24.7443 Å, α = 90.00°, β = 90.00° and γ = 120.00°. The inequivalent atoms are In at (0.0000, 0.0000, 0.2464), Si at (0.0000, 0.0000, 0.0000) and Rh at (0.0000, 0.0000, 0.5000).

## Tl7Sb (PBE-GGA)

Data for crystalline Tl7Sb at its relaxed geometry.

As for the total DFT energy (no corrections): -82.0 eV per cell. The density of states at the Fermi level comes out at 27.201 states/eV/cell. The formation energy without anion corrections comes out at 0.02 eV per atom.

It has space group Fm-3m (No. 225), with a = 9.946 Å, b = 9.946 Å, c = 9.946 Å, α = 90.00°, β = 90.00° and γ = 90.00°. The inequivalent atoms are Tl at (0.000, 0.000, 0.000), Tl at (0.000, 0.250, 0.250) and Sb at (0.000, 0.000, 0.500).

## RbNiBi3 (PBE-GGA)

Data for crystalline RbNiBi3 at its relaxed geometry.

As for the total DFT energy (no corrections): -18.0 eV per cell. As for the calculated formation energy: 74 meV/atom. The density of states at the Fermi level comes out at 7.295 states/eV/cell.

It has space group Pm-3m (No. 221), with a = 5.397 Å, b = 5.397 Å, c = 5.397 Å, α = 90.00°, β = 90.00° and γ = 90.00°. The inequivalent atoms are Rb at (0.000, 0.000, 0.000), Ni at (0.500, 0.500, 0.500) and Bi at (0.000, 0.500, 0.500).

## TiNiGe2 (PBE-GGA)

Data for crystalline TiNiGe2 at its relaxed geometry.

As for the total DFT energy (no corrections): -72.7 eV per cell. As for the calculated formation energy: -329 meV/atom. The density of states at the Fermi level comes out at 3.397 states/eV/cell.

It has space group R-3m (No. 166, hexagonal axes), with a = 3.8933 Å, b = 3.8933 Å, c = 13.7707 Å, α = 90.00°, β = 90.00° and γ = 120.00°. The inequivalent atoms are Ti at (0.0000, 0.0000, 0.0000), Ni at (0.0000, 0.0000, 0.5000) and Ge at (0.0000, 0.0000, 0.2317).